DFT (PBE+U) results for an optimized crystal structure of CuNi2HgF.

Uncorrected energy   -0.0706 Ry/atom
Space-group type   P4/mmm, No. 123

```
CuNi2HgF
1.0
4.9667 0.0000 0.0000
0.0000 4.8438 0.0000
0.0000 0.0000 4.9667
Ni Hg Cu F
2 1 1 1
Cartesian
0.0000 0.0000 2.4833
2.4833 0.0000 0.0000
0.0000 0.0000 0.0000
0.0000 2.4219 0.0000
2.4833 2.4219 2.4833
```